Compound: ZnSbP2O
Source: Alexandria via LeMat-Bulk
Functional: GGA-PBE
Structure: relaxed

The space group is P4/mmm (No. 123) and the conventional cell measures 4.8394, 4.8394 and 3.7204 Å, with angles of 90.00, 90.00 and 90.00 degrees. The distinct sites, in fractional coordinates, are Zn at (0.0000, 0.0000, 0.0000), Sb at (0.5000, 0.5000, 0.5000), P at (0.0000, 0.5000, 0.0000) and O at (0.0000, 0.0000, 0.5000).

The raw total energy is -0.142 Ha/atom. Its offset from the most stable computed form is 0.0 kJ per mole of atoms. The calculation puts the energy relative to the elements, uncorrected at 364.6 meV per atom. The value obtained for the size of the total moment is 0.00 μB per formula unit.